Computed, not measured: a relaxed InAg2 crystal at the GGA-PBEsol level of DFT.

The crystal system is monoclinic. As for the space group: Cm, No. 8. The calculation puts the formation energy at -0.036 eV/atom.

a = 3.0801 Å, b = 5.5159 Å, c = 6.9164 Å
α = 102.40°, β = 90.00°, γ = 106.21°
Closest atoms and distances in Å follow each position.
Positions (direct):
Ag  0.0038  0.0076  0.0012  4 In 2.86-2.95, 8 Ag 2.91-3.08
Ag  0.6700  0.3401  0.3366  3 In 2.83-2.89, 9 Ag 2.90-3.08
Ag  0.3292  0.6584  0.6689  5 In 2.90-2.94, 7 Ag 2.93-3.08
Ag  0.3900  0.7801  0.2758  4 In 2.88-2.91, 8 Ag 2.90-3.08
In  0.0448  0.0895  0.5935  8 Ag 2.88-2.95, 4 In 3.08-3.21
In  0.7288  0.4575  0.9573  8 Ag 2.83-2.91, 2 In 3.08

Computed, not measured: a relaxed Zn2HgW crystal at the GGA-PBEsol level of DFT.

The crystal system is orthorhombic. As for the space group: Amm2, No. 38. The calculation puts the formation energy at 0.396 eV/atom.

a = 2.7835 Å, b = 4.2872 Å, c = 5.4432 Å
α = 90.00°, β = 104.81°, γ = 90.00°
Closest atoms and distances in Å follow each position.
Positions (direct):
Zn  0.8147  0.0000  0.6294  4 Zn 2.57-2.78, 1 Hg 2.61, 4 W 2.75
Zn  0.6794  0.5000  0.3587  4 Zn 2.57-2.78, 3 W 2.80-2.83, 4 Hg 2.84
W  0.4105  0.5000  0.8209  7 Zn 2.75-2.83, 2 W 2.78, 4 Hg 3.02
Hg  0.0627  0.0000  0.1253  5 Zn 2.61-2.84, 2 Hg 2.78

Computed, not measured: a relaxed Si2TeSe crystal at the GGA-PBEsol level of DFT.

As for the energy relative to the elements, uncorrected: 0.059 eV per atom. The calculation puts the distance to the lowest polymorph of the same formula at 0.411 eV per formula unit. The crystal system is monoclinic. As for the space group: Cm, No. 8.

a = 3.7917 Å, b = 4.4723 Å, c = 5.7794 Å
α = 94.04°, β = 109.15°, γ = 90.00°
Closest atoms and distances in Å follow each position.
Positions (direct):
Si  0.0136  0.0491  0.0272  1 Si 2.45, 2 Te 2.62, 1 Se 2.70
Si  0.2360  0.1691  0.4719  2 Se 2.44, 1 Si 2.45
Se  0.7748  0.8458  0.5495  3 Si 2.44-2.70
Te  0.4757  0.4360  0.9514  3 Si 2.62-2.80

Computed, not measured: a relaxed Ga2ReMoOs crystal at the GGA-PBEsol level of DFT.

The crystal system is tetragonal. As for the space group: P4/mmm, No. 123. The calculation puts the formation energy at 1.606 eV/atom.

a = 4.6285 Å, b = 4.6285 Å, c = 4.7422 Å
α = 90.00°, β = 90.00°, γ = 90.00°
Closest atoms and distances in Å follow each position.
Positions (direct):
Os  0.0000  0.0000  0.5000  2 Re 2.37
Mo  0.5000  0.5000  0.5000  4 Os 3.27, 8 Ga 3.31
Re  0.0000  0.0000  0.0000  4 Ga 2.31, 2 Os 2.37
Ga  0.0000  0.5000  0.0000  2 Re 2.31
Ga  0.5000  0.0000  0.0000  2 Re 2.31

Computed, not measured: a relaxed In2FeSi crystal at the GGA-PBEsol level of DFT.

As for the energy relative to the elements, uncorrected: 0.486 eV per atom. The crystal system is monoclinic. As for the space group: C2/m, No. 12.

a = 2.9872 Å, b = 5.1000 Å, c = 4.9774 Å
α = 99.46°, β = 90.00°, γ = 107.03°
Closest atoms and distances in Å follow each position.
Positions (direct):
In  0.7656  0.5311  0.7597  3 Si 2.81-3.08, 3 Fe 2.82-3.03, 6 In 2.88-2.99
In  0.2344  0.4689  0.2403  3 Si 2.81-3.08, 3 Fe 2.82-3.03, 6 In 2.88-2.99
Si  0.0000  0.0000  0.5000  6 In 2.81-3.08, 4 Fe 2.90, 2 Si 2.99
Fe  0.5000  0.0000  0.0000  6 In 2.82-3.03, 4 Si 2.90, 2 Fe 2.99

Computed, not measured: a relaxed Be4ZnFe crystal at the GGA-PBEsol level of DFT.

The crystal system is cubic. As for the space group: F-43m, No. 216. The calculation puts the formation energy at -0.080 eV/atom.

a = 4.2132 Å, b = 4.2132 Å, c = 4.2132 Å
α = 60.00°, β = 60.00°, γ = 60.00°
Closest atoms and distances in Å follow each position.
Positions (direct):
Zn  0.0000  0.0000  0.0000  12 Be 2.47, 4 Fe 2.58
Be  0.1293  0.6236  0.6236  6 Be 2.08-2.13
Be  0.6236  0.6236  0.6236  6 Be 2.08-2.13
Be  0.6236  0.1293  0.6236  6 Be 2.08-2.13
Be  0.6236  0.6236  0.1293  6 Be 2.08-2.13
Fe  0.2500  0.2500  0.2500  12 Be 2.47, 4 Zn 2.58

Computed, not measured: a relaxed HfNbSO2 crystal at the GGA-PBEsol level of DFT.

As for the energy relative to the elements, uncorrected: -1.368 eV per atom. The crystal system is tetragonal. As for the space group: P4/mmm, No. 123.

a = 3.8077 Å, b = 3.8077 Å, c = 6.1114 Å
α = 90.00°, β = 90.00°, γ = 90.00°
Closest atoms and distances in Å follow each position.
Positions (direct):
O  0.0000  0.5000  0.0000  2 Nb 1.90
O  0.5000  0.0000  0.0000  2 Nb 1.90
Hf  0.0000  0.0000  0.5000  4 S 2.69
S  0.5000  0.5000  0.5000  4 Hf 2.69
Nb  0.0000  0.0000  0.0000  4 O 1.90

Computed, not measured: a relaxed Be2CdPt crystal at the GGA-PBEsol level of DFT.

The crystal system is tetragonal. As for the space group: I-4m2, No. 119. The calculation puts the formation energy at -0.133 eV/atom.

a = 3.5505 Å, b = 3.5505 Å, c = 4.7690 Å
α = 111.85°, β = 111.85°, γ = 90.00°
Closest atoms and distances in Å follow each position.
Positions (direct):
Cd  0.5000  0.5000  0.0000  8 Be 2.51-2.69, 4 Pt 2.69
Be  0.0000  0.0000  0.0000  4 Cd 2.51, 4 Pt 2.69, 4 Be 2.69
Be  0.7500  0.2500  0.5000  4 Pt 2.51, 4 Cd 2.69, 4 Be 2.69
Pt  0.2500  0.7500  0.5000  8 Be 2.51-2.69, 4 Cd 2.69

Number 1: calculated volume 18.33 Å³/atom, electronic total energy -3.2376 eV/atom. Number 2: calculated volume 15.70 Å³/atom, electronic total energy -3.9890 eV/atom. Number 3: calculated volume 23.08 Å³/atom, electronic total energy -4.6584 eV/atom. Number 4: calculated volume 20.32 Å³/atom, electronic total energy -7.1931 eV/atom. Number 5: calculated volume 17.86 Å³/atom, electronic total energy -4.6828 eV/atom. Number 6: calculated volume 8.81 Å³/atom, electronic total energy -4.5045 eV/atom. Number 7: calculated volume 17.72 Å³/atom, electronic total energy -8.6098 eV/atom. Number 8: calculated volume 12.78 Å³/atom, electronic total energy -4.1732 eV/atom.